# Cr2TcP

Crystalline Cr2TcP at its relaxed geometry (PBE, the Alexandria database).

abc: 3.783 2.775 4.852
angles: 82.22 90.00 90.00
Atoms (fractional coordinates):
Cr (0.000, 0.127, 0.030)
Cr (0.500, 0.387, 0.228)
P (0.000, 0.268, 0.528)
Tc (0.500, 0.717, 0.713)

Values from the calculation:
SG = Pm (6)
Density of states at the Fermi level = 3.7 states/eV/f.u.
Spin magnetization = 0.0 μB per cell
Calculated formation energy = -68 meV per atom
Electronic total energy = -8.824 eV/atom
Theoretical density = 7.67 Mg/m³

# TiGaB2Pd

Crystalline TiGaB2Pd at its relaxed geometry (PBE, the Alexandria database).

abc: 3.971 4.801 3.971
angles: 90.00 90.00 90.00
Atoms (fractional coordinates):
B (0.000, 0.000, 0.500)
B (0.500, 0.000, 0.000)
Ga (0.000, 0.000, 0.000)
Pd (0.500, 0.500, 0.500)
Ti (0.000, 0.500, 0.000)

Values from the calculation:
SG = P4/mmm (123)
Density of states at the Fermi level = 3.6 states/eV/f.u.
Spin magnetization = 0.0 μB per cell
Energy above the lowest structure with this stoichiometry = 75 meV/atom
Calculated formation energy = 1299 meV per atom
Electronic total energy = -4.595 eV/atom
Theoretical density = 5.39 Mg/m³

# Y2Te2O

Crystalline Y2Te2O at its relaxed geometry (PBE, the Alexandria database).

abc: 4.486 4.486 8.009
angles: 73.74 73.74 90.00
Last column: magnetic moment on the atom in μB.
Atoms (fractional coordinates):
Y (0.390, 0.390, 0.220)  0.22
Y (0.610, 0.610, 0.780)  0.22
Te (0.750, 0.250, 0.500)  -0.01
Te (0.250, 0.750, 0.500)  -0.01
O (0.000, 0.000, 0.000)  -0.04

Values from the calculation:
SG = I4/mmm (139)
Density of states at the Fermi level = 2.9 states/eV/f.u.
Spin magnetization = 0.7 μB per cell
Energy above the lowest structure with this stoichiometry = 1750 meV/atom
Electronic total energy = -5.178 eV/atom
Raw formation energy = -0.344 eV per atom
Theoretical density = 5.04 Mg/m³

# Pm2Dy3Cd3

Crystalline Pm2Dy3Cd3 at its relaxed geometry (PBE, the Alexandria database).

abc: 3.782 5.352 11.671
angles: 103.25 99.32 90.00
Atoms (fractional coordinates):
Pm (0.268, 0.768, 0.535)
Pm (0.732, 0.232, 0.465)
Dy (0.379, 0.379, 0.759)
Dy (0.621, 0.621, 0.241)
Dy (0.500, 0.000, 0.000)
Cd (0.886, 0.886, 0.772)
Cd (0.000, 0.500, 0.000)
Cd (0.114, 0.114, 0.228)

Values from the calculation:
SG = Immm (71)
Density of states at the Fermi level = 8.8 states/eV/f.u.
Spin magnetization = 0.0 μB per cell
Energy above the lowest structure with this stoichiometry = 0 meV/atom
Calculated formation energy = -229 meV per atom
Electronic total energy = -3.486 eV/atom
Theoretical density = 8.16 Mg/m³

# ZrScIn2

Crystalline ZrScIn2 at its relaxed geometry (PBE, the Alexandria database).

abc: 7.961 7.961 6.419
angles: 51.68 51.68 90.00
Last column: magnetic moment on the atom in μB.
Atoms (fractional coordinates):
Sc (0.500, 0.500, 0.000)  0.11
Sc (0.250, 0.750, 0.500)  0.11
Zr (0.000, 0.000, 0.000)  0.16
Zr (0.750, 0.250, 0.500)  0.17
In (0.622, 0.125, 0.250)  0.00
In (0.128, 0.625, 0.250)  0.00
In (0.375, 0.378, 0.750)  0.00
In (0.875, 0.872, 0.750)  0.00

Values from the calculation:
SG = I-42d (122)
Density of states at the Fermi level = 3.4 states/eV/f.u.
Spin magnetization = 0.8 μB per cell
Energy above the lowest structure with this stoichiometry = 395 meV/atom
Calculated formation energy = 23 meV per atom
Electronic total energy = -5.066 eV/atom
Theoretical density = 6.21 Mg/m³

# Re3SiSe

Crystalline Re3SiSe at its relaxed geometry (PBE, the Alexandria database).

abc: 4.464 4.464 4.464
angles: 90.00 90.00 90.00
Atoms (fractional coordinates):
Re (0.000, 0.500, 0.000)
Re (0.000, 0.000, 0.500)
Re (0.500, 0.000, 0.000)
Si (0.000, 0.000, 0.000)
Se (0.500, 0.500, 0.500)

Values from the calculation:
SG = Pm-3m (221)
Density of states at the Fermi level = 3.9 states/eV/f.u.
Spin magnetization = 0.0 μB per cell
Energy above the lowest structure with this stoichiometry = 0 meV/atom
Electronic total energy = -7.701 eV/atom
Raw formation energy = 1.550 eV per atom
Theoretical density = 12.42 Mg/m³

# Ce5NdPb6

Crystalline Ce5NdPb6 at its relaxed geometry (PBE, the Alexandria database).

abc: 7.891 7.883 7.893
angles: 60.04 80.40 70.48
Last column: magnetic moment on the atom in μB.
Atoms (fractional coordinates):
Ce (0.500, 0.164, 0.672)  0.19
Ce (0.000, 0.333, 0.335)  0.26
Ce (0.500, 0.500, 0.000)  0.19
Ce (0.000, 0.667, 0.665)  0.26
Ce (0.500, 0.836, 0.328)  0.19
Nd (0.000, 0.000, 0.000)  -0.02
Pb (0.746, 0.085, 0.338)  -0.01
Pb (0.254, 0.577, 0.338)  -0.01
Pb (0.251, 0.255, 0.000)  -0.01
Pb (0.749, 0.745, 0.000)  -0.01
Pb (0.746, 0.423, 0.662)  -0.01
Pb (0.254, 0.915, 0.662)  -0.01

Values from the calculation:
SG = C2/m (12)
Density of states at the Fermi level = 16.3 states/eV/f.u.
Spin magnetization = 0.9 μB per cell
Energy above the lowest structure with this stoichiometry = 101 meV/atom
Calculated formation energy = -314 meV per atom
Electronic total energy = -5.038 eV/atom
Theoretical density = 8.65 Mg/m³

# Co2TcIr

Crystalline Co2TcIr at its relaxed geometry (PBE, the Alexandria database).

abc: 4.490 4.490 4.490
angles: 131.08 131.08 71.69
Last column: magnetic moment on the atom in μB.
Atoms (fractional coordinates):
Co (0.000, 0.000, 0.000)  0.85
Co (0.500, 0.500, 0.000)  0.85
Ir (0.250, 0.750, 0.500)  0.10
Tc (0.750, 0.250, 0.500)  -0.11

Values from the calculation:
SG = I4/mmm (139)
Density of states at the Fermi level = 4.6 states/eV/f.u.
Spin magnetization = 1.7 μB per cell
Energy above the lowest structure with this stoichiometry = 42 meV/atom
Calculated formation energy = 24 meV per atom
Electronic total energy = -8.336 eV/atom
Theoretical density = 13.46 Mg/m³

# MgCd5Hg3

Crystalline MgCd5Hg3 at its relaxed geometry (PBE, the Alexandria database).

abc: 7.132 7.132 10.243
angles: 83.58 83.58 70.96
Atoms (fractional coordinates):
Mg (0.880, 0.880, 0.269)
Mg (0.120, 0.120, 0.731)
Cd (0.691, 0.080, 0.759)
Cd (0.329, 0.671, 0.000)
Cd (0.274, 0.274, 0.926)
Cd (0.473, 0.473, 0.646)
Cd (0.527, 0.527, 0.354)
Cd (0.726, 0.726, 0.074)
Cd (0.080, 0.691, 0.759)
Cd (0.671, 0.329, 0.000)
Cd (0.309, 0.920, 0.241)
Cd (0.920, 0.309, 0.241)
Hg (0.328, 0.328, 0.203)
Hg (0.272, 0.272, 0.494)
Hg (0.000, 0.000, 0.000)
Hg (0.000, 0.000, 0.500)
Hg (0.672, 0.672, 0.797)
Hg (0.728, 0.728, 0.506)

Values from the calculation:
SG = C2/m (12)
Density of states at the Fermi level = 3.6 states/eV/f.u.
Spin magnetization = 0.0 μB per cell
Energy above the lowest structure with this stoichiometry = 0 meV/atom
Calculated formation energy = 79 meV per atom
Electronic total energy = -0.707 eV/atom
Theoretical density = 8.09 Mg/m³

# GeSbTePd

Crystalline GeSbTePd at its relaxed geometry (PBE, the Alexandria database).

abc: 4.427 4.426 5.668
angles: 67.20 67.20 77.04
Atoms (fractional coordinates):
Ge (0.483, 0.465, 0.100)
Sb (0.309, 0.291, 0.739)
Te (0.872, 0.855, 0.284)
Pd (0.892, 0.874, 0.761)

Values from the calculation:
SG = Cm (8)
Density of states at the Fermi level = 2.1 states/eV/f.u.
Spin magnetization = 0.0 μB per cell
Energy above the lowest structure with this stoichiometry = 67 meV/atom
Electronic total energy = -4.349 eV/atom
Raw formation energy = -0.081 eV per atom
Theoretical density = 7.57 Mg/m³

# YTm4Co2

Crystalline YTm4Co2 at its relaxed geometry (PBE, the Alexandria database).

abc: 6.242 7.820 7.470
angles: 113.13 90.00 90.00
Atoms (fractional coordinates):
Y (0.250, 0.832, 0.978)
Y (0.750, 0.168, 0.022)
Tm (0.501, 0.415, 0.757)
Tm (0.250, 0.253, 0.325)
Tm (0.750, 0.747, 0.675)
Tm (0.999, 0.415, 0.757)
Tm (0.750, 0.017, 0.376)
Tm (0.001, 0.585, 0.243)
Tm (0.499, 0.585, 0.243)
Tm (0.250, 0.983, 0.624)
Co (0.250, 0.275, 0.985)
Co (0.750, 0.725, 0.015)
Co (0.750, 0.372, 0.412)
Co (0.250, 0.628, 0.588)

Values from the calculation:
SG = P2_1/m (11)
Density of states at the Fermi level = 7.6 states/eV/f.u.
Spin magnetization = 0.0 μB per cell
Calculated formation energy = -94 meV per atom
Electronic total energy = -5.603 eV/atom
Theoretical density = 8.74 Mg/m³

# Mg2CdRe

Crystalline Mg2CdRe at its relaxed geometry (PBE, the Alexandria database).

abc: 10.048 10.048 10.048
angles: 16.84 16.84 16.84
Atoms (fractional coordinates):
Cd (0.754, 0.754, 0.754)
Mg (0.000, 0.000, 0.000)
Mg (0.244, 0.244, 0.244)
Re (0.502, 0.502, 0.502)

Values from the calculation:
SG = R3m (160)
Density of states at the Fermi level = 3.2 states/eV/f.u.
Spin magnetization = 0.0 μB per cell
Calculated formation energy = 356 meV per atom
Electronic total energy = -3.782 eV/atom
Theoretical density = 7.76 Mg/m³